(1)
PBE Sr2LaCu, optimized geometry; density of states at the Fermi level = 1.44 states/eV per atom; calculated density = 3.91 g/cm³; formation energy = 0.250 eV/atom; calculated volume = 40.123 Å³ per atom; raw total energy = -45.55 eV for the cell shown
1.0
10.3548 0.0000 0.0000
0.0000 10.3548 0.0000
0.0000 0.0000 5.9873
Sr La Cu
8 4 4
Direct
0.1375 0.2500 0.1250 Sr
0.2500 0.6375 0.3750 Sr
0.2500 0.8625 0.8750 Sr
0.3625 0.2500 0.6250 Sr
0.6375 0.7500 0.6250 Sr
0.7500 0.1375 0.8750 Sr
0.7500 0.3625 0.3750 Sr
0.8625 0.7500 0.1250 Sr
0.0000 0.0000 0.5000 La
0.0000 0.5000 0.7500 La
0.5000 0.0000 0.2500 La
0.5000 0.5000 0.0000 La
0.0000 0.0000 0.0000 Cu
0.0000 0.5000 0.2500 Cu
0.5000 0.0000 0.7500 Cu
0.5000 0.5000 0.5000 Cu

***

(2)
PBE Pr2Nd5Tm2, optimized geometry; density of states at the Fermi level = 1.44 states/eV per atom; calculated density = 7.11 g/cm³; formation energy = 0.158 eV/atom; calculated volume = 34.779 Å³ per atom; raw total energy = -81.84 eV for the cell shown
1.0
-7.6690 6.5389 3.1209
7.6690 -6.5389 3.1209
7.6690 6.5389 -3.1209
Pr Nd Tm
4 10 4
Direct
0.0000 0.0000 0.0000 Pr
0.0000 0.5000 0.5000 Pr
0.0768 0.8842 0.6925 Pr
0.1917 0.3842 0.3075 Pr
0.2333 0.3825 0.7573 Nd
0.2333 0.9761 0.3508 Nd
0.2652 0.7217 0.8309 Nd
0.2652 0.9343 0.0434 Nd
0.4817 0.4081 0.5736 Nd
0.6253 0.4761 0.2427 Nd
0.6253 0.8825 0.6492 Nd
0.8346 0.9081 0.4264 Nd
0.8908 0.2217 0.9566 Nd
0.8908 0.4343 0.1691 Nd
0.5212 0.7091 0.0872 Tm
0.5212 0.9340 0.3121 Tm
0.6219 0.2091 0.6879 Tm
0.6219 0.4340 0.9128 Tm

***

(3)
PBE LaHoTh6, optimized geometry; density of states at the Fermi level = 1.48 states/eV per atom; calculated density = 10.88 g/cm³; formation energy = 0.041 eV/atom; calculated volume = 32.367 Å³ per atom; raw total energy = -107.40 eV for the cell shown
1.0
5.0466 0.0000 0.0000
0.0000 10.1362 0.0000
0.0000 0.0000 10.1237
La Ho Th
2 2 12
Direct
0.0000 0.0000 0.0000 La
0.0000 0.5000 0.5000 La
0.5000 0.0000 0.2550 Ho
0.5000 0.5000 0.7550 Ho
0.0000 0.0000 0.5013 Th
0.0000 0.2482 0.7509 Th
0.0000 0.2518 0.2509 Th
0.0000 0.5000 0.0013 Th
0.0000 0.7482 0.2509 Th
0.0000 0.7518 0.7509 Th
0.5000 0.0000 0.7475 Th
0.5000 0.2466 0.5008 Th
0.5000 0.2534 0.0008 Th
0.5000 0.5000 0.2475 Th
0.5000 0.7466 0.0008 Th
0.5000 0.7534 0.5008 Th

***

(4)
PBE RbCd2Hg, optimized geometry; density of states at the Fermi level = 0.52 states/eV per atom; calculated density = 5.99 g/cm³; formation energy = -0.102 eV/atom; calculated volume = 35.383 Å³ per atom; raw total energy = -10.52 eV for the cell shown
1.0
5.0686 0.0000 0.0000
-2.5343 4.3895 0.0000
0.0000 0.0000 19.0840
Rb Cd Hg
3 6 3
Direct
0.0000 0.0000 0.0000 Rb
0.3333 0.6667 0.6667 Rb
0.6667 0.3333 0.3333 Rb
0.0000 0.0000 0.4881 Cd
0.0000 0.0000 0.8042 Cd
0.3333 0.6667 0.1547 Cd
0.3333 0.6667 0.4709 Cd
0.6667 0.3333 0.1375 Cd
0.6667 0.3333 0.8214 Cd
0.0000 0.0000 0.2003 Hg
0.3333 0.6667 0.8669 Hg
0.6667 0.3333 0.5336 Hg

***

(5)
PBE LaPrScO4, optimized geometry; density of states at the Fermi level = 0.34 states/eV per atom; energy relative to the elements, uncorrected = -3132.0 meV per atom; calculated density = 6.23 g/cm³; calculated volume = 14.794 Å³ per atom; raw total energy = -115.59 eV for the cell shown
1.0
4.0496 0.0000 0.0000
0.0000 4.0496 0.0000
0.0000 0.0000 12.6291
La Pr Sc O
2 2 2 8
Direct
0.0000 0.0000 0.0000 La
0.5000 0.5000 0.5000 La
0.0000 0.0000 0.7043 Pr
0.5000 0.5000 0.2043 Pr
0.0000 0.0000 0.3517 Sc
0.5000 0.5000 0.8517 Sc
0.0000 0.0000 0.1803 O
0.0000 0.0000 0.5237 O
0.0000 0.5000 0.3511 O
0.0000 0.5000 0.8511 O
0.5000 0.0000 0.3511 O
0.5000 0.0000 0.8511 O
0.5000 0.5000 0.0237 O
0.5000 0.5000 0.6803 O

***

(6)
PBE RbY2F, optimized geometry; density of states at the Fermi level = 0.82 states/eV per atom; energy relative to the elements, uncorrected = -738.8 meV per atom; calculated density = 3.07 g/cm³; calculated volume = 38.128 Å³ per atom; raw total energy = -74.89 eV for the cell shown
1.0
7.5740 0.0000 0.0000
0.0000 7.5740 0.0000
0.0000 0.0000 10.6346
Rb Y F
4 8 4
Direct
0.0000 0.0000 0.0000 Rb
0.0000 0.5000 0.2500 Rb
0.5000 0.0000 0.7500 Rb
0.5000 0.5000 0.5000 Rb
0.0226 0.7500 0.6250 Y
0.2500 0.0226 0.3750 Y
0.2500 0.4774 0.8750 Y
0.4774 0.7500 0.1250 Y
0.5226 0.2500 0.1250 Y
0.7500 0.5226 0.8750 Y
0.7500 0.9774 0.3750 Y
0.9774 0.2500 0.6250 Y
0.0000 0.0000 0.5000 F
0.0000 0.5000 0.7500 F
0.5000 0.0000 0.2500 F
0.5000 0.5000 0.0000 F

***

(7)
PBE La6Pm2Nd3Mg, optimized geometry; density of states at the Fermi level = 1.38 states/eV per atom; calculated density = 6.26 g/cm³; formation energy = 0.013 eV/atom; calculated volume = 34.942 Å³ per atom; raw total energy = -54.81 eV for the cell shown
1.0
3.1822 -5.5252 0.0000
3.1822 5.5252 0.0000
-2.1510 0.0000 11.9238
La Pm Nd Mg
6 2 3 1
Direct
0.0813 0.4108 0.2466 La
0.2474 0.2474 0.7523 La
0.4108 0.0813 0.2466 La
0.5892 0.9187 0.7534 La
0.7526 0.7526 0.2477 La
0.9187 0.5892 0.7534 La
0.3331 0.6669 0.0000 Pm
0.6669 0.3331 0.0000 Pm
0.1675 0.8325 0.5000 Nd
0.5000 0.5000 0.5000 Nd
0.8325 0.1675 0.5000 Nd
0.0000 0.0000 0.0000 Mg

***

(8)
PBE AlZnCl2, optimized geometry; density of states at the Fermi level = 0.10 states/eV per atom; energy relative to the elements, uncorrected = -592.2 meV per atom; calculated density = 2.85 g/cm³; calculated volume = 23.765 Å³ per atom; raw total energy = -22.16 eV for the cell shown
1.0
3.3696 0.0000 0.0000
0.0000 6.2469 0.0000
0.0000 0.0000 9.0320
Al Zn Cl
2 2 4
Direct
0.0000 0.0000 0.0000 Al
0.5000 0.5000 0.0000 Al
0.0000 0.5000 0.7789 Zn
0.5000 0.0000 0.7789 Zn
0.0000 0.0000 0.5998 Cl
0.0000 0.5000 0.1893 Cl
0.5000 0.0000 0.1893 Cl
0.5000 0.5000 0.5998 Cl